# Na3MoF (PBE+U, optimized geometry)
# Final energy = -11.27 eV/cell
# Polymorph energy (0 for the lowest one) = 0.788 eV/atom
# Magnetization = 5.997 μB per formula unit
# Calculated volume = 223.9 Å³/f.u.
data_Na3MoF
_chemical_formula_sum 'Na3 Mo1 F1'
_space_group_name_H-M_alt 'P m -3 m'
_space_group_IT_number 221
_space_group_name_Hall '-P 4 2 3'
_cell_length_a 6.072
_cell_length_b 6.072
_cell_length_c 6.072
_cell_angle_alpha 90.00
_cell_angle_beta 90.00
_cell_angle_gamma 90.00
loop_
_atom_site_label
_atom_site_fract_x
_atom_site_fract_y
_atom_site_fract_z
Na1 0.000 0.000 0.500
Mo1 0.000 0.000 0.000
F1 0.500 0.500 0.500